#P
VASP calculation (PBE-GGA) on crystalline Ag2Rh at its relaxed geometry.

Results
Its total magnetization is 0.6 μB per formula unit. Its space-group type is Fm-3m, No. 225.

abc: 4.398 4.398 4.398
angles: 60.00 60.00 60.00
Positions (direct):
1 Ag 0.750 0.750 0.750
2 Ag 0.250 0.250 0.250
3 Rh 0.000 0.000 0.000

#Q
VASP calculation (PBE-GGA) on crystalline Ag2Rh at its relaxed geometry.

Results
Its total magnetization is 0.3 μB per formula unit. Its space-group type is Cmcm, No. 63.

abc: 7.723 7.723 4.621
angles: 90.00 90.00 158.98
Positions (direct):
1 Ag 0.887 0.113 0.750
2 Ag 0.113 0.887 0.250
3 Ag 0.442 0.558 0.250
4 Ag 0.558 0.442 0.750
5 Rh 0.228 0.772 0.750
6 Rh 0.772 0.228 0.250

#R
VASP calculation (PBE-GGA) on crystalline Ag2Rh at its relaxed geometry.

Results
Its total magnetization is 0.3 μB per formula unit. Its space-group type is Cmcm, No. 63.

abc: 4.967 4.967 4.660
angles: 90.00 90.00 119.51
Positions (direct):
1 Ag 0.818 0.489 0.250
2 Ag 0.182 0.511 0.750
3 Ag 0.489 0.818 0.250
4 Ag 0.511 0.182 0.750
5 Rh 0.130 0.130 0.250
6 Rh 0.870 0.870 0.750

So which one is most stable? That would be #Q, about 0.071 eV/atom below the next structure.